# Ba8P2Au

Ba8P2Au after structural relaxation (PBE-GGA, Alexandria via LeMat-Bulk).

Geometry as POSCAR:
```
Ba8P2Au
1.0
-3.871 5.233 1.584
-0.176 2.864 -9.890
-7.186 -6.416 3.634
Ba P Au
8 2 1
Cartesian
-4.155 3.834 -1.438 Ba
-7.079 -2.154 -3.235 Ba
-4.239 5.300 -6.486 Ba
-7.910 2.024 -4.636 Ba
-3.324 -0.344 -0.036 Ba
-6.995 -3.619 1.813 Ba
-7.679 0.500 0.283 Ba
-3.555 1.181 -4.956 Ba
-5.697 -2.179 -0.528 P
-5.537 3.859 -4.145 P
-7.186 -6.416 3.634 Au
```

Properties
ΔH_f (0 K) = -0.40 eV/atom
theoretical density = 3.67 g cm⁻³
V = 615.1 Å³ per cell
space group = P-3m1 (164)